No. 1
A relaxed structure of PrSmTcAg. Source: the Alexandria database, functional GGA-PBE.

Total moment (Bohr magnetons per cell): 0.00
ΔH_f (0 K) (eV/atom): 0.019

Cell: 5.121 5.121 5.121 Å, 60.00 60.00 60.00°
Positions (direct):
Pr  0.000  0.000  0.000
Ag  0.250  0.250  0.250
Sm  0.500  0.500  0.500
Tc  0.750  0.750  0.750

***

No. 2
A relaxed structure of PrSmAg2Te4. Source: the Alexandria database, functional GGA-PBE.

Formation energy (no corrections) (eV/atom): -0.748
Total moment (Bohr magnetons per cell): 0.00

Cell: 7.616 6.972 6.972 Å, 66.57 56.89 56.89°
Positions (direct):
Pr  0.000  0.000  0.000
Sm  0.500  0.500  0.500
Ag  0.159  0.341  0.341
Ag  0.841  0.659  0.659
Te  0.440  0.071  0.572
Te  0.083  0.929  0.428
Te  0.917  0.572  0.071
Te  0.560  0.428  0.929